Material: Rb2HfNiBr6
Method: DFT, PBE-GGA
State: relaxed

The value obtained for the formation energy without anion corrections is -1130 meV per atom. The density of states at the Fermi level comes out at 0.000 states/eV per atom. The value obtained for the total moment is 0.000 μB per formula unit.

The structure belongs to space group Fm-3m (No. 225); the cell edges are 10.6532, 10.6532 and 10.6532 Å and the angles 90.00°, 90.00° and 90.00°. The asymmetric unit holds Rb at (0.2500, 0.2500, 0.2500), Hf at (0.0000, 0.0000, 0.0000), Ni at (0.0000, 0.0000, 0.5000) and Br at (0.0000, 0.0000, 0.2501).



Material: TmB3Ir3
Method: DFT, PBE-GGA
State: relaxed

The calculation puts the energy above the most stable polymorph in this dataset at 31 meV/atom. The density of states at the Fermi level comes out at 0.480 states/eV per atom. The formation energy from the elements is -0.324 eV per atom. The value obtained for the total moment is 0.000 μB per formula unit.

The structure belongs to space group P2_13 (No. 198); the cell edges are 7.4371, 7.4371 and 7.4371 Å and the angles 90.00°, 90.00° and 90.00°. The asymmetric unit holds Tm at (0.0027, 0.4973, 0.5027), B at (0.0083, 0.8056, 0.6842), Ir at (0.0496, 0.9504, 0.4504), Ir at (0.2290, 0.2290, 0.2290) and Ir at (0.2457, 0.2543, 0.7457).



Material: MgTaAu
Method: DFT, PBE-GGA
State: relaxed

The calculation puts the energy above the most stable polymorph in this dataset at 0 meV/atom. The density of states at the Fermi level comes out at 0.576 states/eV per atom. The formation energy from the elements is -0.197 eV per atom. The value obtained for the total moment is 0.000 μB per formula unit.

The structure belongs to space group P1 (No. 1); the cell edges are 2.9843, 2.9954 and 12.2623 Å and the angles 89.99°, 88.07° and 89.90°. The asymmetric unit holds Mg at (0.0000, 0.0000, 0.0000), Mg at (0.0463, 0.0008, 0.6850), Ta at (0.5718, 0.5009, 0.4965), Ta at (0.9590, 0.0002, 0.3236), Au at (0.4790, 0.4999, 0.1578) and Au at (0.5235, 0.5007, 0.8433).



Material: CsSrSi3
Method: DFT, PBE-GGA
State: relaxed

The value obtained for the formation energy without anion corrections is 1537 meV per atom. The calculation puts the energy above the most stable polymorph in this dataset at 406 meV/atom. The density of states at the Fermi level comes out at 1.308 states/eV per atom. The value obtained for the total moment is 0.000 μB per formula unit.

The structure belongs to space group Pm-3m (No. 221); the cell edges are 5.5898, 5.5898 and 5.5898 Å and the angles 90.00°, 90.00° and 90.00°. The asymmetric unit holds Cs at (0.0000, 0.0000, 0.0000), Sr at (0.5000, 0.5000, 0.5000) and Si at (0.0000, 0.0000, 0.5000).



Material: BeZnN2
Method: DFT, PBE-GGA
State: relaxed

The value obtained for the formation energy without anion corrections is 235 meV per atom. The calculation puts the energy above the most stable polymorph in this dataset at 0 meV/atom. The density of states at the Fermi level comes out at 0.368 states/eV per atom. The value obtained for the total moment is 0.000 μB per formula unit.

The structure belongs to space group I-42d (No. 122); the cell edges are 3.9683, 3.9683 and 9.6697 Å and the angles 90.00°, 90.00° and 90.00°. The asymmetric unit holds Be at (0.0000, 0.0000, 0.0000), Zn at (0.0000, 0.0000, 0.5000) and N at (0.1724, 0.2500, 0.1250).



Material: Sr2Sn2Ru
Method: DFT, PBE-GGA
State: relaxed

The calculation puts the energy above the most stable polymorph in this dataset at 96 meV/atom. The density of states at the Fermi level comes out at 1.148 states/eV per atom. The formation energy from the elements is 0.415 eV per atom. The value obtained for the total moment is 0.876 μB per formula unit.

The structure belongs to space group P4/mbm (No. 127); the cell edges are 7.8693, 7.8693 and 5.0821 Å and the angles 90.00°, 90.00° and 90.00°. The asymmetric unit holds Sr at (0.1666, 0.3334, 0.0000), Sn at (0.1408, 0.6408, 0.5000) and Ru at (0.0000, 0.0000, 0.0000).



Material: SrLi2RhCl8
Method: DFT, PBE-GGA
State: relaxed

The value obtained for the formation energy without anion corrections is -1373 meV per atom. The density of states at the Fermi level comes out at 0.486 states/eV per atom. The value obtained for the total moment is 1.094 μB per formula unit.

The structure belongs to space group P-1 (No. 2); the cell edges are 6.1889, 6.8216 and 8.2304 Å and the angles 66.75°, 88.04° and 80.62°. The asymmetric unit holds Sr at (0.0000, 0.0000, 0.0000), Li at (0.4622, 0.3385, 0.1896), Rh at (0.0000, 0.0000, 0.5000), Cl at (0.0862, 0.2479, 0.2167), Cl at (0.1329, 0.2088, 0.6304), Cl at (0.3461, 0.7970, 0.5254) and Cl at (0.4184, 0.7211, 0.0647).



Material: CrTc2Ru
Method: DFT, PBE-GGA
State: relaxed

The calculation puts the energy above the most stable polymorph in this dataset at 7 meV/atom. The density of states at the Fermi level comes out at 0.913 states/eV per atom. The formation energy from the elements is 0.114 eV per atom. The value obtained for the total moment is 0.000 μB per formula unit.

The structure belongs to space group Cmmm (No. 65); the cell edges are 5.3829, 7.6273 and 2.6927 Å and the angles 90.00°, 90.00° and 90.00°. The asymmetric unit holds Cr at (0.0000, 0.0000, 0.0000), Tc at (0.2500, 0.2500, 0.5000) and Ru at (0.0000, 0.5000, 0.0000).



Material: Na2ZrBr
Method: DFT, PBE-GGA
State: relaxed

The value obtained for the formation energy without anion corrections is 518 meV per atom. The calculation puts the energy above the most stable polymorph in this dataset at 293 meV/atom. The density of states at the Fermi level comes out at 0.599 states/eV per atom. The value obtained for the total moment is 3.421 μB per formula unit.

The structure belongs to space group Fm-3m (No. 225); the cell edges are 7.9332, 7.9332 and 7.9332 Å and the angles 90.00°, 90.00° and 90.00°. The asymmetric unit holds Na at (0.2500, 0.2500, 0.2500), Zr at (0.0000, 0.0000, 0.0000) and Br at (0.0000, 0.0000, 0.5000).



Material: Ba2Ge2Te
Method: DFT, PBE-GGA
State: relaxed

The value obtained for the formation energy without anion corrections is -682 meV per atom. The calculation puts the energy above the most stable polymorph in this dataset at 0 meV/atom. The density of states at the Fermi level comes out at 0.699 states/eV per atom. The value obtained for the total moment is 0.000 μB per formula unit.

The structure belongs to space group P4/mbm (No. 127); the cell edges are 8.7564, 8.7564 and 4.5084 Å and the angles 90.00°, 90.00° and 90.00°. The asymmetric unit holds Ba at (0.1970, 0.3030, 0.0000), Ge at (0.0950, 0.5950, 0.5000) and Te at (0.0000, 0.0000, 0.5000).



Material: LiPrPu2N4
Method: DFT, PBE-GGA
State: relaxed

The value obtained for the formation energy without anion corrections is -1151 meV per atom. The density of states at the Fermi level comes out at 1.424 states/eV per atom. The value obtained for the total moment is 7.989 μB per formula unit.

The structure belongs to space group Cmcm (No. 63); the cell edges are 3.5013, 11.3066 and 11.2039 Å and the angles 90.00°, 90.00° and 90.00°. The asymmetric unit holds Li at (0.0000, 0.1632, 0.2500), Pr at (0.0000, 0.1045, 0.7500), Pu at (0.0000, 0.3694, 0.5578), N at (0.0000, 0.0000, 0.0000), N at (0.0000, 0.2654, 0.1095) and N at (0.0000, 0.4397, 0.7500).



Material: MgSi2P
Method: DFT, PBE-GGA
State: relaxed

The value obtained for the formation energy without anion corrections is 376 meV per atom. The calculation puts the energy above the most stable polymorph in this dataset at 327 meV/atom. The density of states at the Fermi level comes out at 0.480 states/eV per atom. The value obtained for the total moment is 0.000 μB per formula unit.

The structure belongs to space group F-43m (No. 216); the cell edges are 6.3840, 6.3840 and 6.3840 Å and the angles 90.00°, 90.00° and 90.00°. The asymmetric unit holds Mg at (0.0000, 0.0000, 0.0000), Si at (0.0000, 0.0000, 0.5000), Si at (0.2500, 0.2500, 0.2500) and P at (0.2500, 0.2500, 0.7500).



Material: SmIrC
Method: DFT, PBE-GGA
State: relaxed

The calculation puts the energy above the most stable polymorph in this dataset at 332 meV/atom. The density of states at the Fermi level comes out at 0.778 states/eV per atom. The formation energy from the elements is -0.117 eV per atom. The value obtained for the total moment is 0.000 μB per formula unit.

The structure belongs to space group P3m1 (No. 156); the cell edges are 3.3993, 3.3993 and 4.9751 Å and the angles 90.00°, 90.00° and 120.00°. The asymmetric unit holds Sm at (0.0000, 0.0000, 0.0000), Ir at (0.6667, 0.3333, 0.5287) and C at (0.3333, 0.6667, 0.6613).



Material: BaAlOs
Method: DFT, PBE-GGA
State: relaxed

The density of states at the Fermi level comes out at 0.608 states/eV per atom. The formation energy from the elements is 0.232 eV per atom. The value obtained for the total moment is 0.000 μB per formula unit.

The structure belongs to space group P-6m2 (No. 187); the cell edges are 4.2971, 4.2971 and 4.9843 Å and the angles 90.00°, 90.00° and 120.00°. The asymmetric unit holds Ba at (0.0000, 0.0000, 0.0000), Al at (0.3333, 0.6667, 0.5000) and Os at (0.6667, 0.3333, 0.5000).



Material: Os2PtPb2
Method: DFT, PBE-GGA
State: relaxed

The calculation puts the energy above the most stable polymorph in this dataset at 443 meV/atom. The density of states at the Fermi level comes out at 1.131 states/eV per atom. The formation energy from the elements is 1.140 eV per atom. The value obtained for the total moment is 0.000 μB per formula unit.

The structure belongs to space group P4/mbm (No. 127); the cell edges are 7.8640, 7.8640 and 3.1152 Å and the angles 90.00°, 90.00° and 90.00°. The asymmetric unit holds Os at (0.1376, 0.3624, 0.0000), Pt at (0.0000, 0.0000, 0.5000) and Pb at (0.1607, 0.6607, 0.5000).



Material: Ho4NbRu5
Method: DFT, PBE-GGA
State: relaxed

The density of states at the Fermi level comes out at 0.470 states/eV per atom. The formation energy from the elements is -0.368 eV per atom. The value obtained for the total moment is 0.000 μB per formula unit.

The structure belongs to space group P4/mmm (No. 123); the cell edges are 3.3216, 3.3216 and 16.9044 Å and the angles 90.00°, 90.00° and 90.00°. The asymmetric unit holds Ho at (0.0000, 0.0000, 0.1008), Ho at (0.0000, 0.0000, 0.3009), Nb at (0.0000, 0.0000, 0.5000), Ru at (0.5000, 0.5000, 0.0000), Ru at (0.5000, 0.5000, 0.2040) and Ru at (0.5000, 0.5000, 0.4128).



Material: CaPa2TlO8
Method: DFT, PBE-GGA
State: relaxed

The value obtained for the formation energy without anion corrections is -2679 meV per atom. The density of states at the Fermi level comes out at 0.899 states/eV per atom. The value obtained for the total moment is 0.000 μB per formula unit.

The structure belongs to space group P2/m (No. 10); the cell edges are 5.0971, 7.2017 and 5.1018 Å and the angles 90.00°, 91.50° and 90.00°. The asymmetric unit holds Ca at (0.0000, 0.0000, 0.0000), Pa at (0.5000, 0.2489, 0.5000), Tl at (0.0000, 0.5000, 0.0000), O at (0.2060, 0.2572, 0.2080), O at (0.3187, 0.5000, 0.6827) and O at (0.3224, 0.0000, 0.6791).



Material: LiAg2H8Pd3
Method: DFT, PBE-GGA
State: relaxed

The density of states at the Fermi level comes out at 0.281 states/eV per atom. The calculation puts the electronic total energy at -0.1315 hartree per atom. The value obtained for the total moment is 0.000 μB per formula unit.

The structure belongs to space group R3m (No. 160, hexagonal axes); the cell edges are 5.7799, 5.7799 and 14.0915 Å and the angles 90.00°, 90.00° and 120.00°. The asymmetric unit holds Li at (0.0000, 0.0000, 0.0000), Ag at (0.0000, 0.0000, 0.3813), Ag at (0.0000, 0.0000, 0.7511), H at (0.0000, 0.0000, 0.1502), H at (0.0000, 0.0000, 0.6142), H at (0.0237, 0.5118, 0.1519), H at (0.1841, 0.3683, 0.9430) and Pd at (0.0010, 0.5005, 0.8805).



Material: YPbAu2
Method: DFT, PBE-GGA
State: relaxed

The density of states at the Fermi level comes out at 0.584 states/eV per atom. The formation energy from the elements is -0.013 eV per atom. The value obtained for the total moment is 0.000 μB per formula unit.

The structure belongs to space group Immm (No. 71); the cell edges are 3.4584, 5.0244 and 11.7376 Å and the angles 90.00°, 90.00° and 90.00°. The asymmetric unit holds Y at (0.0000, 0.0000, 0.0000), Pb at (0.0000, 0.0000, 0.5000) and Au at (0.0000, 0.0000, 0.2517).



Material: ScNb2PtW
Method: DFT, PBE-GGA
State: relaxed

The calculation puts the energy above the most stable polymorph in this dataset at 0 meV/atom. The density of states at the Fermi level comes out at 1.704 states/eV per atom. The formation energy from the elements is 1.102 eV per atom. The value obtained for the total moment is 0.001 μB per formula unit.

The structure belongs to space group P4/mmm (No. 123); the cell edges are 4.9071, 4.9071 and 4.8505 Å and the angles 90.00°, 90.00° and 90.00°. The asymmetric unit holds Sc at (0.0000, 0.0000, 0.0000), Nb at (0.0000, 0.5000, 0.5000), Pt at (0.5000, 0.5000, 0.5000) and W at (0.5000, 0.5000, 0.0000).



Material: Cs3Ba2PaSe6
Method: DFT, PBE-GGA
State: relaxed

The value obtained for the formation energy without anion corrections is -1630 meV per atom. The value obtained for the total moment is 0.000 μB per formula unit.

The structure belongs to space group C2/m (No. 12); the cell edges are 8.0789, 13.9577 and 8.7466 Å and the angles 90.00°, 107.96° and 90.00°. The asymmetric unit holds Cs at (0.0000, 0.0000, 0.0000), Cs at (0.0000, 0.3278, 0.0000), Ba at (0.0000, 0.1661, 0.5000), Pa at (0.0000, 0.5000, 0.5000), Se at (0.2088, 0.3556, 0.6930) and Se at (0.2219, 0.5000, 0.3052).



Material: BeSi2Br
Method: DFT, PBE-GGA
State: relaxed

The value obtained for the formation energy without anion corrections is 608 meV per atom. The calculation puts the energy above the most stable polymorph in this dataset at 561 meV/atom. The density of states at the Fermi level comes out at 0.461 states/eV per atom. The value obtained for the total moment is 0.000 μB per formula unit.

The structure belongs to space group Cmmm (No. 65); the cell edges are 3.7398, 5.3629 and 6.9416 Å and the angles 90.00°, 90.00° and 90.00°. The asymmetric unit holds Be at (0.0000, 0.0000, 0.0000), Si at (0.0000, 0.5000, 0.1797) and Br at (0.0000, 0.0000, 0.5000).



Material: Sr2HfH3O3
Method: DFT, PBE-GGA
State: relaxed

The density of states at the Fermi level comes out at 0.371 states/eV per atom. The calculation puts the electronic total energy at -0.2198 hartree per atom. The value obtained for the total moment is 1.040 μB per formula unit.

The structure belongs to space group P-62m (No. 189); the cell edges are 5.9874, 5.9874 and 3.4744 Å and the angles 90.00°, 90.00° and 120.00°. The asymmetric unit holds Sr at (0.3333, 0.6667, 0.0000), Hf at (0.0000, 0.0000, 0.5000), H at (0.0000, 0.1994, 0.0000) and O at (0.0000, 0.6539, 0.5000).



Material: HgSb2W
Method: DFT, PBE-GGA
State: relaxed

The value obtained for the formation energy without anion corrections is 554 meV per atom. The density of states at the Fermi level comes out at 0.757 states/eV per atom. The value obtained for the total moment is 0.000 μB per formula unit.

The structure belongs to space group Imm2 (No. 44); the cell edges are 3.1549, 4.5475 and 13.7097 Å and the angles 90.00°, 90.00° and 90.00°. The asymmetric unit holds Hg at (0.0000, 0.0000, 0.0000), Sb at (0.0000, 0.0000, 0.6294), Sb at (0.0000, 0.5000, 0.8215) and W at (0.0000, 0.5000, 0.3006).